Below is YFeW2O8 after structural relaxation, with properties calculated at the PBE with a Hubbard U level.

## Properties
**Final energy**: -0.5690 Ry/atom
**Fermi-level density of states**: 0.00 states/eV per cell
**Symmetry**: No. 1

Cell: 5.182 5.957 6.021 Å, 70.95 90.02 67.75°
Each line ends with the local moment (μB).
Fractional coordinates of all 12 atoms:
Y1 0.520 0.101 0.284  0.01
Fe1 0.024 0.122 0.693  3.77
W1 0.290 0.587 0.618  0.99
W2 0.776 0.612 0.948  0.04
O1 0.291 0.835 0.344  -0.03
O2 0.265 0.310 0.515  0.06
O3 0.376 0.791 0.816  0.01
O4 0.177 0.404 0.951  0.00
O5 0.777 0.853 0.069  0.01
O6 0.747 0.369 0.215  0.00
O7 0.696 0.388 0.751  0.02
O8 0.861 0.824 0.617  0.03